1.
A relaxed structure of NbHgSe2, computed with PBE-GGA.

Structure (extended XYZ):
```
4
Lattice="3.9361 0.0000 0.0000 -1.9681 3.4088 0.0000 0.0000 0.0000 9.6362" Properties=species:S:1:pos:R:3 pbc="T T T"
Nb 0.0000 0.0000 0.0000
Hg 1.9681 1.1363 5.1620
Se 0.0000 0.0000 2.3046
Se 0.0000 2.2725 8.4717
```

Formation energy without anion corrections: -194 meV per atom
E_tot: -4.53 eV/atom
V: 129.3 Å³/cell
SG: P3m1, No. 156

2.
A relaxed structure of NbHgSe2, computed with PBE-GGA.

Structure (extended XYZ):
```
8
Lattice="-3.7199 3.7199 5.3538 3.7199 -3.7199 5.3538 3.7199 3.7199 -5.3538" Properties=species:S:1:pos:R:3 pbc="T T T"
Nb 0.0000 0.0000 0.0000
Nb 0.0000 3.7199 2.6769
Hg 3.7199 0.0000 2.6769
Hg 0.0000 0.0000 5.3538
Se 0.8868 1.8599 1.3385
Se -1.8599 2.8330 4.0154
Se -0.8868 5.5798 1.3385
Se 1.8599 4.6067 4.0154
```

Formation energy without anion corrections: -216 meV per atom
E_tot: -4.55 eV/atom
V: 296.3 Å³/cell
SG: I-42d, No. 122